(1)
Compound: TaTc2
Source: the Alexandria database
Functional: PBE
Structure: optimized geometry

The structure belongs to space group P6_3/mmc (No. 194); the cell edges are 5.1415, 5.1415 and 8.4534 Å and the angles 90.00°, 90.00° and 120.00°. The distinct sites, in fractional coordinates, are Ta at (0.3333, 0.6667, 0.0611), Tc at (0.0000, 0.0000, 0.0000) and Tc at (0.1727, 0.3453, 0.7500).

The density of states at the Fermi level is 1.20 states/eV per atom. As for the formation energy: -0.121 eV per atom. The value obtained for the energy above the lowest structure with this stoichiometry is 76.2 meV/atom.

---

(2)
Compound: TaTc2
Source: the Alexandria database
Functional: PBE
Structure: optimized geometry

The structure belongs to space group I4/mmm (No. 139); the cell edges are 3.162, 3.162 and 9.472 Å and the angles 90.00°, 90.00° and 90.00°. The distinct sites, in fractional coordinates, are Ta at (0.000, 0.000, 0.000) and Tc at (0.000, 0.000, 0.336).

The density of states at the Fermi level is 0.81 states/eV per atom. As for the formation energy: -0.162 eV per atom. The value obtained for the energy above the lowest structure with this stoichiometry is 35.3 meV/atom.

---

(3)
Compound: TaTc2
Source: the Alexandria database
Functional: PBE
Structure: optimized geometry

The structure belongs to space group Fd-3m (No. 227, origin choice 2); the cell edges are 7.288, 7.288 and 7.288 Å and the angles 90.00°, 90.00° and 90.00°. The distinct sites, in fractional coordinates, are Ta at (0.125, 0.125, 0.125) and Tc at (0.000, 0.000, 0.500).

The density of states at the Fermi level is 1.28 states/eV per atom. As for the formation energy: -0.092 eV per atom. The value obtained for the energy above the lowest structure with this stoichiometry is 105.8 meV/atom.